[1]
# Sc2SiNi PBE optimized geometry
# Electronic total energy ... -92.7 eV for the cell shown
# ΔE_f (raw) ... 66 kJ/mol of formula units
# Crystal system ... tetragonal
data_Sc2SiNi
_space_group_name_H-M_alt 'I -4 2 d'
_space_group_IT_number 122
_space_group_name_Hall 'I -4 2bw'
_cell_length_a 4.124
_cell_length_b 4.124
_cell_length_c 17.983
_cell_angle_alpha 90.00
_cell_angle_beta 90.00
_cell_angle_gamma 90.00
loop_
_atom_site_label
_atom_site_type_symbol
_atom_site_fract_x
_atom_site_fract_y
_atom_site_fract_z
Sc1 Sc 0.244 0.250 0.125
Si1 Si 0.000 0.000 0.000
Ni1 Ni 0.000 0.000 0.500



[2]
# Y2Er6Tm3 PBE optimized geometry
# Electronic total energy ... -160.3 eV for the cell shown
# ΔE to the lowest computed polymorph ... 0.000 eV per atom
# Crystal system ... trigonal
data_Y2Er6Tm3
_space_group_name_H-M_alt 'R -3 m'
_space_group_IT_number 166
_space_group_name_Hall '-R 3 2"'
_cell_length_a 3.5160
_cell_length_b 3.5160
_cell_length_c 94.4654
_cell_angle_alpha 90.00
_cell_angle_beta 90.00
_cell_angle_gamma 120.00
loop_
_atom_site_label
_atom_site_type_symbol
_atom_site_fract_x
_atom_site_fract_y
_atom_site_fract_z
Y1 Y 0.0000 0.0000 0.0457
Er1 Er 0.0000 0.0000 0.1366
Er2 Er 0.0000 0.0000 0.3182
Er3 Er 0.0000 0.0000 0.4098
Tm1 Tm 0.0000 0.0000 0.2268
Tm2 Tm 0.0000 0.0000 0.5000



[3]
# Zn6InAg6 PBE optimized geometry
# Electronic total energy ... -27.6 eV for the cell shown
# ΔE to the lowest computed polymorph ... 0.006 eV per atom
# Crystal system ... hexagonal
data_Zn6InAg6
_space_group_name_H-M_alt 'P 6/m m m'
_space_group_IT_number 191
_space_group_name_Hall '-P 6 2'
_cell_length_a 5.1544
_cell_length_b 5.1544
_cell_length_c 9.7376
_cell_angle_alpha 90.00
_cell_angle_beta 90.00
_cell_angle_gamma 120.00
loop_
_atom_site_label
_atom_site_type_symbol
_atom_site_fract_x
_atom_site_fract_y
_atom_site_fract_z
Zn1 Zn 0.0000 0.5000 0.2498
In1 In 0.0000 0.0000 0.0000
Ag1 Ag 0.0000 0.0000 0.3585
Ag2 Ag 0.3333 0.6667 0.0000
Ag3 Ag 0.3333 0.6667 0.5000



[4]
# BeAlAs2 PBE optimized geometry
# Electronic total energy ... -31.5 eV for the cell shown
# ΔE to the lowest computed polymorph ... 0.428 eV per atom
# Crystal system ... orthorhombic
data_BeAlAs2
_space_group_name_H-M_alt 'C m m 2'
_space_group_IT_number 35
_space_group_name_Hall 'C 2 -2'
_cell_length_a 3.568
_cell_length_b 4.264
_cell_length_c 8.965
_cell_angle_alpha 90.00
_cell_angle_beta 90.00
_cell_angle_gamma 90.00
loop_
_atom_site_label
_atom_site_type_symbol
_atom_site_fract_x
_atom_site_fract_y
_atom_site_fract_z
Be1 Be 0.000 0.000 0.000
Al1 Al 0.000 0.500 0.801
As1 As 0.000 0.000 0.560
As2 As 0.000 0.500 0.183



[5]
# LaTaCu PBE optimized geometry
# Electronic total energy ... -19.4 eV for the cell shown
# ΔE to the lowest computed polymorph ... 0.249 eV per atom
# Crystal system ... trigonal
data_LaTaCu
_space_group_name_H-M_alt 'P 3 m 1'
_space_group_IT_number 156
_space_group_name_Hall 'P 3 -2"'
_cell_length_a 3.0407
_cell_length_b 3.0407
_cell_length_c 7.7389
_cell_angle_alpha 90.00
_cell_angle_beta 90.00
_cell_angle_gamma 120.00
loop_
_atom_site_label
_atom_site_type_symbol
_atom_site_fract_x
_atom_site_fract_y
_atom_site_fract_z
La1 La 0.0000 0.0000 0.0000
Ta1 Ta 0.6667 0.3333 0.3855
Cu1 Cu 0.3333 0.6667 0.6508



[6]
# Pm2HgIr2 PBE optimized geometry
# Electronic total energy ... -61.0 eV for the cell shown
# Crystal system ... orthorhombic
data_Pm2HgIr2
_space_group_name_H-M_alt 'I m m m'
_space_group_IT_number 71
_space_group_name_Hall '-I 2 2'
_cell_length_a 4.509
_cell_length_b 6.015
_cell_length_c 8.439
_cell_angle_alpha 90.00
_cell_angle_beta 90.00
_cell_angle_gamma 90.00
loop_
_atom_site_label
_atom_site_type_symbol
_atom_site_fract_x
_atom_site_fract_y
_atom_site_fract_z
Pm1 Pm 0.000 0.000 0.210
Hg1 Hg 0.000 0.500 0.000
Ir1 Ir 0.000 0.292 0.500



[7]
# La3GaTc PBE optimized geometry
# Electronic total energy ... -234.7 eV for the cell shown
# ΔE to the lowest computed polymorph ... 0.000 eV per atom
# Crystal system ... orthorhombic
data_La3GaTc
_space_group_name_H-M_alt 'F m m m'
_space_group_IT_number 69
_space_group_name_Hall '-F 2 2'
_cell_length_a 6.787
_cell_length_b 9.779
_cell_length_c 16.314
_cell_angle_alpha 90.00
_cell_angle_beta 90.00
_cell_angle_gamma 90.00
loop_
_atom_site_label
_atom_site_type_symbol
_atom_site_fract_x
_atom_site_fract_y
_atom_site_fract_z
La1 La 0.000 0.000 0.199
La2 La 0.000 0.195 0.397
Ga1 Ga 0.187 0.000 0.000
Tc1 Tc 0.250 0.250 0.250



[8]
# Li2ZnPb PBE optimized geometry
# Electronic total energy ... -27.2 eV for the cell shown
# Crystal system ... trigonal
data_Li2ZnPb
_space_group_name_H-M_alt 'R 3 m'
_space_group_IT_number 160
_space_group_name_Hall 'R 3 -2"'
_cell_length_a 3.2541
_cell_length_b 3.2541
_cell_length_c 27.4674
_cell_angle_alpha 90.00
_cell_angle_beta 90.00
_cell_angle_gamma 120.00
loop_
_atom_site_label
_atom_site_type_symbol
_atom_site_fract_x
_atom_site_fract_y
_atom_site_fract_z
Li1 Li 0.0000 0.0000 0.0000
Li2 Li 0.0000 0.0000 0.1779
Zn1 Zn 0.0000 0.0000 0.5894
Pb1 Pb 0.0000 0.0000 0.7552



[9]
# Cd2BPt6 PBE optimized geometry
# Electronic total energy ... -44.1 eV for the cell shown
# Crystal system ... trigonal
data_Cd2BPt6
_space_group_name_H-M_alt 'P -3 1 m'
_space_group_IT_number 162
_space_group_name_Hall '-P 3 2'
_cell_length_a 7.6241
_cell_length_b 7.6241
_cell_length_c 2.9048
_cell_angle_alpha 90.00
_cell_angle_beta 90.00
_cell_angle_gamma 120.00
loop_
_atom_site_label
_atom_site_type_symbol
_atom_site_fract_x
_atom_site_fract_y
_atom_site_fract_z
Cd1 Cd 0.3333 0.6667 0.0000
B1 B 0.0000 0.0000 0.5000
Pt1 Pt 0.0000 0.3001 0.7370



[10]
# Tc2SbAs PBE optimized geometry
# Electronic total energy ... -29.2 eV for the cell shown
# ΔE to the lowest computed polymorph ... 0.058 eV per atom
# ΔE_f (raw) ... 25 kJ/mol of formula units
# Crystal system ... tetragonal
data_Tc2SbAs
_space_group_name_H-M_alt 'P 4/m m m'
_space_group_IT_number 123
_space_group_name_Hall '-P 4 2'
_cell_length_a 3.161
_cell_length_b 3.161
_cell_length_c 6.396
_cell_angle_alpha 90.00
_cell_angle_beta 90.00
_cell_angle_gamma 90.00
loop_
_atom_site_label
_atom_site_type_symbol
_atom_site_fract_x
_atom_site_fract_y
_atom_site_fract_z
Tc1 Tc 0.000 0.000 0.234
Sb1 Sb 0.500 0.500 0.500
As1 As 0.500 0.500 0.000



[11]
# Ca2La2Cd15 PBE optimized geometry
# Electronic total energy ... -94.1 eV for the cell shown
# Crystal system ... trigonal
data_Ca2La2Cd15
_space_group_name_H-M_alt 'R -3 m'
_space_group_IT_number 166
_space_group_name_Hall '-R 3 2"'
_cell_length_a 10.2404
_cell_length_b 10.2404
_cell_length_c 15.6770
_cell_angle_alpha 90.00
_cell_angle_beta 90.00
_cell_angle_gamma 120.00
loop_
_atom_site_label
_atom_site_type_symbol
_atom_site_fract_x
_atom_site_fract_y
_atom_site_fract_z
Ca1 Ca 0.0000 0.0000 0.1024
La1 La 0.0000 0.0000 0.3376
Cd1 Cd 0.0000 0.2958 0.0000
Cd2 Cd 0.0000 0.5000 0.5000
Cd3 Cd 0.0142 0.5071 0.1410



[12]
# Dy3HoHg2 PBE optimized geometry
# Electronic total energy ... -78.3 eV for the cell shown
# ΔE to the lowest computed polymorph ... 0.264 eV per atom
# Crystal system ... orthorhombic
data_Dy3HoHg2
_space_group_name_H-M_alt 'I b a m'
_space_group_IT_number 72
_space_group_name_Hall '-I 2 2c'
_cell_length_a 7.081
_cell_length_b 14.402
_cell_length_c 7.478
_cell_angle_alpha 90.00
_cell_angle_beta 90.00
_cell_angle_gamma 90.00
loop_
_atom_site_label
_atom_site_type_symbol
_atom_site_fract_x
_atom_site_fract_y
_atom_site_fract_z
Dy1 Dy 0.000 0.000 0.250
Dy2 Dy 0.000 0.272 0.250
Ho1 Ho 0.000 0.500 0.000
Hg1 Hg 0.200 0.140 0.000